Entry 1:
! SrW2Au | Alexandria via LeMat-Bulk | PBE | relaxed; values from VASP
! Total DFT energy (no corrections): -6.7750 eV per atom
! Crystal system: orthorhombic
! Energy relative to the elements: 0.941 eV/atom
! ΔE to the lowest computed polymorph: 0.516 eV/atom
&SYSTEM
  ibrav = 0, nat = 4, ntyp = 3
/
ATOMIC_SPECIES
Sr 87.62 Sr.upf
Au 196.97 Au.upf
W 183.84 W.upf
CELL_PARAMETERS angstrom
2.801 0.056 0.000
-0.210 2.794 0.000
0.000 0.000 9.912
ATOMIC_POSITIONS crystal
Sr 0.500 0.500 0.750
Au 0.500 0.500 0.250
W 0.000 0.000 0.470
W 0.000 0.000 0.030

Entry 2:
! SrW2Au | Alexandria via LeMat-Bulk | PBE | relaxed; values from VASP
! Total DFT energy (no corrections): -6.6628 eV per atom
! Crystal system: trigonal
! Energy relative to the elements: 1.054 eV/atom
! ΔE to the lowest computed polymorph: 0.628 eV/atom
&SYSTEM
  ibrav = 0, nat = 4, ntyp = 3
/
ATOMIC_SPECIES
W 183.84 W.upf
Sr 87.62 Sr.upf
Au 196.97 Au.upf
CELL_PARAMETERS angstrom
-9.670 -4.411 1.075
-9.223 -5.109 -1.721
-8.200 -6.836 0.395
ATOMIC_POSITIONS crystal
W 0.991 0.991 0.991
W 0.509 0.509 0.509
Sr 0.750 0.750 0.750
Au 0.250 0.250 0.250